Entry 1:
Material: TeOs2W
Method: DFT, PBE-GGA
State: relaxed

Unit cell a=4.2067 b=2.9232 c=5.6448 alpha=72.81 beta=90.00 gamma=90.00
Fractional positions:
Os: 0.0000 0.1227 0.9913
Os: 0.0000 0.3773 0.5087
Te: 0.5000 0.2500 0.2500
W: 0.5000 0.7500 0.7500

## Properties
Its magnetization is 0.0 μB per formula unit. The density of states at the Fermi level comes out at 2.62 states/eV/cell. The formation energy from raw total energies is 0.71 eV/atom.

---

Entry 2:
Material: Dy4ThSc2
Method: DFT, PBE-GGA
State: relaxed

Unit cell a=6.9648 b=11.0739 c=11.0739 alpha=89.99 beta=90.00 gamma=90.00
Fractional positions:
Th: 0.0014 0.5000 0.0000
Th: 0.4986 0.0000 0.5000
Th: 0.5014 0.5000 0.0000
Th: 0.9986 0.0000 0.5000
Dy: 0.7496 0.0000 0.7814
Dy: 0.2504 0.7814 0.0000
Dy: 0.2504 0.5000 0.2812
Dy: 0.2496 0.7186 0.5000
Dy: 0.2496 0.0000 0.2188
Dy: 0.2496 0.2814 0.5000
Dy: 0.2504 0.2186 0.0000
Dy: 0.7496 0.0000 0.2186
Dy: 0.7504 0.5000 0.7186
Dy: 0.2496 0.0000 0.7812
Dy: 0.7504 0.2188 0.0000
Dy: 0.7496 0.2812 0.5000
Dy: 0.7504 0.7812 0.0000
Dy: 0.7504 0.5000 0.2814
Dy: 0.2504 0.5000 0.7188
Dy: 0.7496 0.7188 0.5000
Sc: 0.0000 0.7500 0.2500
Sc: 0.0000 0.2500 0.2500
Sc: 0.5000 0.2500 0.2500
Sc: 0.5000 0.7500 0.2500
Sc: 0.0000 0.2500 0.7500
Sc: 0.5000 0.2500 0.7500
Sc: 0.0000 0.7500 0.7500
Sc: 0.5000 0.7500 0.7500

## Properties
Its magnetization is 0.0 μB per formula unit. The density of states at the Fermi level comes out at 46.63 states/eV/cell. For the formation energy, the calculation gives 181 meV per atom.

---

Entry 3:
Material: Y3Sb
Method: DFT, PBE-GGA
State: relaxed

Unit cell a=5.3959 b=5.3959 c=5.3959 alpha=60.00 beta=60.00 gamma=60.00
Fractional positions:
Sb: 0.0000 0.0000 0.0000
Y: 0.7500 0.7500 0.7500
Y: 0.2500 0.2500 0.2500
Y: 0.5000 0.5000 0.5000

## Properties
Its magnetization is 0.0 μB per formula unit. The density of states at the Fermi level comes out at 4.00 states/eV/cell. The formation energy from raw total energies is -0.26 eV/atom.